No. 1
4
Lattice="0.0000 3.5613 3.5613 3.5613 0.0000 3.5613 3.5613 3.5613 0.0000" Properties=species:S:1:pos:R:3 comment="YCuBr2 PBE-GGA optimized geometry" spacegroup="Fm-3m, No. 225" raw_formation_energy_kj_per_mol_atoms=-54 relative_energy_mev_per_atom=351 magmom_total_mub_per_cell=0.00 energy_ha_per_atom=-0.1485 pbc="T T T"
Y 0.0000 0.0000 0.0000
Cu 3.5613 3.5613 3.5613
Br 1.7807 1.7807 1.7807
Br 5.3420 5.3420 5.3420



No. 2
4
Lattice="1.3833 -2.0199 0.0000 1.3833 2.0199 0.0000 0.0000 0.0000 8.5129" Properties=species:S:1:pos:R:3 comment="LiMnFe2 PBE-GGA optimized geometry" spacegroup="Cmm2, No. 35" formation_enthalpy_0k_ev_per_fu=0.82 relative_energy_mev_per_atom=1 magmom_total_mub_per_cell=2.98 energy_ha_per_atom=-0.2498 pbc="T T T"
Li 0.0000 0.0000 0.0000
Mn 1.3833 0.0000 2.2741
Fe 0.0000 0.0000 4.2619
Fe 1.3833 0.0000 6.2713



No. 3
12
Lattice="5.2584 -3.3115 0.0000 5.2584 3.3115 0.0000 -5.2484 0.0000 5.7335" Properties=species:S:1:pos:R:3 comment="Zr8CO3 PBE-GGA optimized geometry" spacegroup="C2/m, No. 12" raw_formation_energy_kj_per_mol_atoms=-139 magmom_total_mub_per_cell=0.00 energy_ha_per_atom=-0.3363 pbc="T T T"
Zr -1.3594 0.0000 1.9150
Zr -1.3081 1.6298 4.7926
Zr 1.3251 0.0000 3.8523
Zr 6.5764 1.6298 0.9409
Zr -1.3081 -1.6298 4.7926
Zr 3.9432 0.0000 1.8812
Zr 6.5764 -1.6298 0.9409
Zr 6.6277 0.0000 3.8185
C 5.2584 0.0000 0.0000
O 0.0000 0.0000 0.0000
O 0.0050 1.6557 2.8668
O 0.0050 -1.6557 2.8668



No. 4
4
Lattice="2.9402 0.0000 0.0000 0.0000 2.9402 0.0000 0.0000 0.0000 5.6426" Properties=species:S:1:pos:R:3 comment="Cr2TcP PBE-GGA optimized geometry" spacegroup="P4mm, No. 99" formation_enthalpy_0k_ev_per_fu=-0.66 magmom_total_mub_per_cell=0.00 energy_ha_per_atom=-0.3279 pbc="T T T"
Cr 0.0000 0.0000 0.0000
Cr 1.4701 1.4701 1.2096
Tc 1.4701 1.4701 3.9269
P 0.0000 0.0000 2.5799



No. 5
17
Lattice="-4.5966 4.5966 4.5966 4.5966 -4.5966 4.5966 4.5966 4.5966 -4.5966" Properties=species:S:1:pos:R:3 comment="Co4SnSb12 PBE-GGA optimized geometry" spacegroup="Im-3, No. 204" raw_formation_energy_kj_per_mol_atoms=-12 magmom_total_mub_per_cell=0.00 energy_ha_per_atom=-0.1816 pbc="T T T"
Co 2.2983 2.2983 -2.2983
Co 2.2983 -2.2983 2.2983
Co -2.2983 2.2983 2.2983
Co 2.2983 2.2983 2.2983
Sn 0.0000 0.0000 0.0000
Sb 3.0518 0.0000 1.4699
Sb 6.1413 0.0000 1.4699
Sb 4.5966 3.1267 -1.5447
Sb 1.4699 3.0518 0.0000
Sb 3.1267 -1.5447 4.5966
Sb 0.0000 1.4699 3.0518
Sb 4.5966 3.1267 1.5447
Sb 1.4699 6.1413 0.0000
Sb 3.1267 1.5447 4.5966
Sb 0.0000 1.4699 6.1413
Sb -1.5447 4.5966 3.1267
Sb 1.5447 4.5966 3.1267



No. 6
10
Lattice="6.2601 -2.8076 0.0000 6.2601 2.8076 0.0000 -5.9798 0.0000 6.3933" Properties=species:S:1:pos:R:3 comment="Ac2AlSbPt6 PBE-GGA optimized geometry" spacegroup="C2/m, No. 12" raw_formation_energy_kj_per_mol_atoms=-87 magmom_total_mub_per_cell=0.00 energy_ha_per_atom=-0.2254 pbc="T T T"
Ac 1.3635 0.0000 1.8149
Ac 5.1768 0.0000 4.5785
Al 6.2601 0.0000 0.0000
Sb -2.9899 0.0000 3.1967
Pt 4.7719 1.3842 1.5002
Pt -2.1757 0.0000 5.7462
Pt 1.7685 1.3842 4.8931
Pt 4.7719 -1.3842 1.5002
Pt 8.7161 0.0000 0.6472
Pt 1.7685 -1.3842 4.8931



No. 7
5
Lattice="-2.1168 2.1168 5.8771 2.1168 -2.1168 5.8771 2.1168 2.1168 -5.8771" Properties=species:S:1:pos:R:3 comment="PmMgAgGe2 PBE-GGA optimized geometry" spacegroup="I-4m2, No. 119" formation_enthalpy_0k_ev_per_fu=-2.35 magmom_total_mub_per_cell=0.00 energy_ha_per_atom=-0.1528 pbc="T T T"
Pm 0.0000 0.0000 0.0000
Mg 0.0000 2.1168 2.9385
Ag 2.1168 0.0000 2.9385
Ge 0.0000 0.0000 4.6314
Ge 0.0000 0.0000 7.1228



No. 8
8
Lattice="7.2087 0.0000 0.0000 0.0000 4.2290 0.0000 -2.4617 0.0000 7.5950" Properties=species:S:1:pos:R:3 comment="Sm4SiSI2 PBE-GGA optimized geometry" spacegroup="P2/m, No. 10" raw_formation_energy_kj_per_mol_atoms=-117 magmom_total_mub_per_cell=0.00 energy_ha_per_atom=-0.1894 pbc="T T T"
Sm 1.1546 0.0000 1.4113
Sm -0.0827 2.1145 6.1513
Sm 4.8298 2.1145 1.4438
Sm 3.5924 0.0000 6.1837
Si 3.6044 0.0000 0.0000
S 0.0000 2.1145 0.0000
I -1.2308 0.0000 3.7975
I 2.3735 2.1145 3.7975



No. 9
5
Lattice="4.4624 0.0000 0.0000 0.0000 4.4624 0.0000 0.0000 0.0000 4.4624" Properties=species:S:1:pos:R:3 comment="V3SiSb PBE-GGA optimized geometry" spacegroup="Pm-3m, No. 221" raw_formation_energy_kj_per_mol_atoms=50 relative_energy_mev_per_atom=0 magmom_total_mub_per_cell=3.61 energy_ha_per_atom=-0.2523 pbc="T T T"
V 0.0000 0.0000 2.2312
V 0.0000 2.2312 0.0000
V 2.2312 0.0000 0.0000
Si 0.0000 0.0000 0.0000
Sb 2.2312 2.2312 2.2312



No. 10
4
Lattice="4.6845 0.0000 0.0000 0.0000 4.6845 0.0000 0.0000 0.0000 3.3235" Properties=species:S:1:pos:R:3 comment="Ta3Nb PBE-GGA optimized geometry" spacegroup="P4/mmm, No. 123" formation_enthalpy_0k_ev_per_fu=-0.03 relative_energy_mev_per_atom=0 magmom_total_mub_per_cell=0.00 energy_ha_per_atom=-0.4194 pbc="T T T"
Ta 0.0000 0.0000 0.0000
Ta 0.0000 2.3423 1.6617
Ta 2.3423 0.0000 1.6617
Nb 2.3423 2.3423 0.0000